Entry 1:
{"formula": "Na2Hf2CrSe6", "functional": "PBE", "state": "optimized geometry", "formation_energy_uncorrected_ev_per_atom": -1.133, "dos_ef_per_ev_cell": 5.27, "m_tot_mub_per_fu": 3.3, "lattice_angstrom": [[6.5670, -0.0313, 0.0582], [-3.2730, 5.6933, 0.0582], [-1.1708, -2.0125, 7.1380]], "species": ["Na", "Na", "Hf", "Hf", "Cr", "Se", "Se", "Se", "Se", "Se", "Se"], "fractional_positions": [[0.8335, 0.1665, 0.0000], [0.1665, 0.8335, 0.0000], [0.3300, 0.6700, 0.5000], [0.6700, 0.3300, 0.5000], [0.0000, 0.0000, 0.5000], [0.7468, 0.7468, 0.7088], [0.0780, 0.4031, 0.7164], [0.2532, 0.2532, 0.2912], [0.4031, 0.0780, 0.7164], [0.9220, 0.5969, 0.2836], [0.5969, 0.9220, 0.2836]]}

=====

Entry 2:
{"formula": "NaSiPb3", "functional": "PBE", "state": "optimized geometry", "formation_energy_uncorrected_ev_per_atom": 0.342, "dos_ef_per_ev_cell": 4.11, "e_above_lowest_polymorph_mev_per_atom": 0, "m_tot_mub_per_fu": 0.0, "lattice_angstrom": [[-0.4321, -5.4574, 0.7035], [2.1085, -0.8160, -5.0352], [5.0825, -0.1254, 2.1487]], "species": ["Pb", "Pb", "Pb", "Na", "Si"], "fractional_positions": [[0.0000, 0.5000, 0.0000], [0.0000, 0.0000, 0.5000], [0.5000, 0.0000, 0.0000], [0.5000, 0.5000, 0.5000], [0.0000, 0.0000, 0.0000]]}